Entry 1:
A geometry-optimized Fe3Si5 structure. Source: Alexandria, functional PBE.

Lattice parameters (Å, degrees): 6.776 6.776 4.789 90.00 90.00 120.00
Fractional positions:
Fe (0.000, 0.390, 0.250)
Fe (0.000, 0.610, 0.750)
Fe (0.390, 0.000, 0.250)
Fe (0.390, 0.390, 0.750)
Fe (0.610, 0.000, 0.750)
Fe (0.610, 0.610, 0.250)
Si (0.000, 0.254, 0.750)
Si (0.000, 0.746, 0.250)
Si (0.254, 0.000, 0.750)
Si (0.254, 0.254, 0.250)
Si (0.333, 0.667, 0.000)
Si (0.333, 0.667, 0.500)
Si (0.667, 0.333, 0.000)
Si (0.667, 0.333, 0.500)
Si (0.746, 0.000, 0.250)
Si (0.746, 0.746, 0.750)

Computed properties:
Symmetry: P6_3/mcm (193)
Calculated total energy: -6.65 eV per atom
Formation energy (no corrections): -0.0830 eV/atom
Relative energy among the computed polymorphs: 138 meV per atom
N(E_F): 10.8 states/eV per cell

---

Entry 2:
A geometry-optimized Fe2Si structure. Source: Alexandria, functional PBE.

Lattice parameters (Å, degrees): 2.695 2.695 8.899 90.00 90.00 90.00
Fractional positions:
Fe (0.000, 0.000, 0.161)
Fe (0.000, 0.000, 0.839)
Fe (0.500, 0.500, 0.339)
Fe (0.500, 0.500, 0.661)
Si (0.000, 0.000, 0.500)
Si (0.500, 0.500, 0.000)

Computed properties:
Symmetry: I4/mmm (139)
Calculated total energy: -7.71 eV per atom
Formation energy (no corrections): -0.2609 eV/atom
N(E_F): 4.2 states/eV per cell

---

Entry 3:
A geometry-optimized FeSi3 structure. Source: Alexandria, functional PBE.

Lattice parameters (Å, degrees): 4.642 4.642 4.642 90.00 90.00 90.00
Fractional positions:
Fe (0.000, 0.000, 0.000)
Fe (0.500, 0.500, 0.500)
Si (0.000, 0.250, 0.500)
Si (0.000, 0.750, 0.500)
Si (0.250, 0.500, 0.000)
Si (0.500, 0.000, 0.250)
Si (0.500, 0.000, 0.750)
Si (0.750, 0.500, 0.000)

Computed properties:
Symmetry: Pm-3n (223)
Calculated total energy: -6.01 eV per atom
Formation energy (no corrections): 0.1715 eV/atom
N(E_F): 4.0 states/eV per cell